Record 1
Compound: Dy2ThHg
Source: Alexandria via LeMat-Bulk
Functional: GGA-PBE
Structure: relaxed

Unit cell a=4.815 b=4.858 c=4.858 alpha=90.00 beta=90.00 gamma=90.00
Sites, in units of the cell vectors:
Hg (0.500, 0.000, 0.000)
Th (0.500, 0.500, 0.500)
Dy (0.000, 0.000, 0.500)
Dy (0.000, 0.500, 0.000)

Values from the calculation:
space group: No. 123
total magnetic moment: 0.0 Bohr magnetons per cell
relative energy among the computed polymorphs: 3.72 kcal/mol of atoms
total DFT energy (no corrections): -0.1589 Ha/atom

Record 2
Compound: DyThHg6
Source: Alexandria via LeMat-Bulk
Functional: GGA-PBE
Structure: relaxed

Unit cell a=4.998 b=6.765 c=6.765 alpha=119.94 beta=90.00 gamma=90.00
Sites, in units of the cell vectors:
Dy (0.500, 0.416, 0.584)
Th (0.000, 0.084, 0.916)
Hg (0.000, 0.084, 0.416)
Hg (0.000, 0.584, 0.916)
Hg (0.000, 0.582, 0.418)
Hg (0.500, 0.427, 0.089)
Hg (0.500, 0.911, 0.573)
Hg (0.500, 0.913, 0.087)

Values from the calculation:
space group: No. 38
total magnetic moment: 0.0 Bohr magnetons per cell
total DFT energy (no corrections): -0.0740 Ha/atom

Record 3
Compound: Dy3Th2Hg3
Source: Alexandria via LeMat-Bulk
Functional: GGA-PBE
Structure: relaxed

Unit cell a=3.646 b=5.419 c=11.808 alpha=103.27 beta=98.88 gamma=90.00
Sites, in units of the cell vectors:
Dy (0.380, 0.380, 0.760)
Dy (0.620, 0.620, 0.240)
Dy (0.500, 0.000, 0.000)
Th (0.266, 0.766, 0.532)
Th (0.734, 0.234, 0.468)
Hg (0.888, 0.888, 0.776)
Hg (0.000, 0.500, 0.000)
Hg (0.112, 0.112, 0.224)

Values from the calculation:
space group: No. 71
total magnetic moment: 0.0 Bohr magnetons per cell
total DFT energy (no corrections): -0.1462 Ha/atom

Record 4
Compound: DyThHg
Source: Alexandria via LeMat-Bulk
Functional: GGA-PBE
Structure: relaxed

Unit cell a=3.625 b=3.625 c=7.092 alpha=104.80 beta=104.80 gamma=90.00
Sites, in units of the cell vectors:
Hg (0.676, 0.676, 0.353)
Th (0.006, 0.006, 0.011)
Dy (0.318, 0.318, 0.636)

Values from the calculation:
space group: No. 107
total magnetic moment: 0.0 Bohr magnetons per cell
relative energy among the computed polymorphs: 0.11 kcal/mol of atoms
total DFT energy (no corrections): -0.1591 Ha/atom

Record 5
Compound: Dy2ThHg
Source: Alexandria via LeMat-Bulk
Functional: GGA-PBE
Structure: relaxed

Unit cell a=3.617 b=3.617 c=8.720 alpha=90.00 beta=90.00 gamma=90.00
Sites, in units of the cell vectors:
Hg (0.500, 0.500, 0.000)
Th (0.500, 0.500, 0.500)
Dy (0.000, 0.000, 0.774)
Dy (0.000, 0.000, 0.226)

Values from the calculation:
space group: No. 123
total magnetic moment: 0.0 Bohr magnetons per cell
relative energy among the computed polymorphs: 0.00 kcal/mol of atoms
total DFT energy (no corrections): -0.1649 Ha/atom

Record 6
Compound: DyThTlHg
Source: Alexandria via LeMat-Bulk
Functional: GGA-PBE
Structure: relaxed

Unit cell a=5.401 b=5.401 c=5.401 alpha=60.00 beta=60.00 gamma=60.00
Sites, in units of the cell vectors:
Tl (0.500, 0.500, 0.500)
Hg (0.000, 0.000, 0.000)
Th (0.250, 0.250, 0.250)
Dy (0.750, 0.750, 0.750)

Values from the calculation:
space group: No. 216
total magnetic moment: 0.0 Bohr magnetons per cell
total DFT energy (no corrections): -0.1445 Ha/atom

Record 7
Compound: Dy2TiHg
Source: Alexandria via LeMat-Bulk
Functional: GGA-PBE
Structure: relaxed

Unit cell a=3.434 b=3.434 c=8.438 alpha=90.00 beta=90.00 gamma=90.00
Sites, in units of the cell vectors:
Ti (0.500, 0.500, 0.000)
Hg (0.500, 0.500, 0.500)
Dy (0.000, 0.000, 0.754)
Dy (0.000, 0.000, 0.246)

Values from the calculation:
space group: No. 123
total magnetic moment: 0.0 Bohr magnetons per cell
relative energy among the computed polymorphs: 0.00 kcal/mol of atoms
total DFT energy (no corrections): -0.1638 Ha/atom

Record 8
Compound: DyTiHg6
Source: Alexandria via LeMat-Bulk
Functional: GGA-PBE
Structure: relaxed

Unit cell a=8.537 b=8.537 c=5.991 alpha=44.56 beta=44.56 gamma=60.00
Sites, in units of the cell vectors:
Dy (0.000, 0.000, 0.000)
Ti (0.500, 0.500, 0.500)
Hg (0.170, 0.170, 0.119)
Hg (0.170, 0.540, 0.119)
Hg (0.460, 0.830, 0.881)
Hg (0.830, 0.460, 0.881)
Hg (0.830, 0.830, 0.881)
Hg (0.540, 0.170, 0.119)

Values from the calculation:
space group: No. 166
total magnetic moment: 1.4 Bohr magnetons per cell
total DFT energy (no corrections): -0.0625 Ha/atom

Record 9
Compound: Dy2TiHg
Source: Alexandria via LeMat-Bulk
Functional: GGA-PBE
Structure: relaxed

Unit cell a=3.335 b=3.335 c=11.224 alpha=81.46 beta=81.46 gamma=60.00
Sites, in units of the cell vectors:
Ti (0.000, 0.000, 0.000)
Hg (0.500, 0.500, 0.500)
Dy (0.089, 0.089, 0.732)
Dy (0.911, 0.911, 0.268)

Values from the calculation:
space group: No. 166
total magnetic moment: 2.3 Bohr magnetons per cell
relative energy among the computed polymorphs: 9.60 kcal/mol of atoms
total DFT energy (no corrections): -0.1485 Ha/atom

Record 10
Compound: Dy2TiHg
Source: Alexandria via LeMat-Bulk
Functional: GGA-PBE
Structure: relaxed

Unit cell a=3.896 b=5.066 c=5.066 alpha=90.00 beta=90.00 gamma=90.00
Sites, in units of the cell vectors:
Ti (0.500, 0.500, 0.500)
Hg (0.500, 0.000, 0.000)
Dy (0.000, 0.000, 0.500)
Dy (0.000, 0.500, 0.000)

Values from the calculation:
space group: No. 123
total magnetic moment: 2.7 Bohr magnetons per cell
relative energy among the computed polymorphs: 1.05 kcal/mol of atoms
total DFT energy (no corrections): -0.1621 Ha/atom

Record 11
Compound: DyTiHg2
Source: Alexandria via LeMat-Bulk
Functional: GGA-PBE
Structure: relaxed

Unit cell a=4.185 b=4.626 c=4.626 alpha=90.00 beta=90.00 gamma=90.00
Sites, in units of the cell vectors:
Ti (0.500, 0.000, 0.000)
Hg (0.000, 0.000, 0.500)
Hg (0.000, 0.500, 0.000)
Dy (0.500, 0.500, 0.500)

Values from the calculation:
space group: No. 123
total magnetic moment: 1.5 Bohr magnetons per cell
relative energy among the computed polymorphs: 0.47 kcal/mol of atoms
total DFT energy (no corrections): -0.1265 Ha/atom

Record 12
Compound: DyTiHg
Source: Alexandria via LeMat-Bulk
Functional: GGA-PBE
Structure: relaxed

Unit cell a=4.363 b=4.363 c=7.447 alpha=90.00 beta=90.00 gamma=90.00
Sites, in units of the cell vectors:
Dy (0.000, 0.500, 0.840)
Dy (0.500, 0.000, 0.160)
Hg (0.000, 0.500, 0.251)
Hg (0.500, 0.000, 0.749)
Ti (0.500, 0.500, 0.500)
Ti (0.000, 0.000, 0.500)

Values from the calculation:
space group: No. 129
total magnetic moment: 0.0 Bohr magnetons per cell
total DFT energy (no corrections): -0.1615 Ha/atom